La2SeBr | SCAN | single point on PBEsol structure

Calculated values
Energy above the lowest structure with this stoichiometry: 0.0 kJ per mole of atoms
Calculated density: 6.678 Mg/m³
Spin magnetization: 0.00 μB per formula unit
Formation energy (no corrections): -1.81 eV/atom

Lattice parameters (Å, degrees): 4.2981 4.2981 20.3607 90.00 90.00 120.00
With the nearest neighbours (Å) after each atom.
Space group R-3m (No. 166, hexagonal axes)
Inequivalent atoms, fractional coordinates:
La  0.0000  0.0000  0.2457 (multiplicity 6)  3 Se 2.96, 3 Br 3.06
Se  0.0000  0.0000  0.5000 (multiplicity 3)  6 La 2.96
Br  0.0000  0.0000  0.0000 (multiplicity 3)  6 La 3.06

=====

Na5H7Se4O18 | SCAN | single point on PBEsol structure

Calculated values
Calculated density: 2.932 Mg/m³
Spin magnetization: 0.00 μB per formula unit
Final energy: -8.21 eV/atom

Lattice parameters (Å, degrees): 17.9425 13.1494 7.1018 90.00 101.12 90.00
With the nearest neighbours (Å) after each atom.
Space group Cc (No. 9)
Inequivalent atoms, fractional coordinates:
Na  0.0000  0.0101  0.0000 (multiplicity 4)  6 O 2.35-2.62
Na  0.0957  0.3435  0.6828 (multiplicity 4)  6 O 2.38-2.48
Na  0.2024  0.1712  0.0608 (multiplicity 4)  6 O 2.35-2.54
Na  0.2972  0.3289  0.4387 (multiplicity 4)  6 O 2.35-2.53
Na  0.4040  0.1568  0.8164 (multiplicity 4)  6 O 2.37-2.48
H  0.0170  0.1854  0.2774 (multiplicity 4)  1 O 0.99
H  0.0637  0.1363  0.7462 (multiplicity 4)  1 O 1.00
H  0.2031  0.4965  0.8130 (multiplicity 4)  1 O 1.08
H  0.2965  0.0037  0.6860 (multiplicity 4)  1 O 1.07
H  0.4362  0.3638  0.7538 (multiplicity 4)  1 O 1.00
H  0.4829  0.3147  0.2225 (multiplicity 4)  1 O 0.99
H  0.4995  0.0238  0.4984 (multiplicity 4)  2 O 1.20-1.22
Se  0.0964  0.3706  0.2047 (multiplicity 4)  4 O 1.64-1.70
Se  0.1916  0.1093  0.5751 (multiplicity 4)  4 O 1.64-1.74
Se  0.3081  0.3908  0.9241 (multiplicity 4)  4 O 1.64-1.74
Se  0.4032  0.1296  0.2941 (multiplicity 4)  4 O 1.64-1.70
O  0.0094  0.1188  0.7434 (multiplicity 4)  2 H 0.99-1.00
O  0.0420  0.3158  0.3392 (multiplicity 4)  1 Se 1.66, 1 H 1.80
O  0.0583  0.4833  0.1161 (multiplicity 4)  1 H 1.22
O  0.1076  0.2984  0.0238 (multiplicity 4)  1 Se 1.64
O  0.1465  0.0019  0.5156 (multiplicity 4)  1 Se 1.64
O  0.1522  0.1795  0.7242 (multiplicity 4)  1 Se 1.66, 1 H 1.72
O  0.1772  0.4060  0.3485 (multiplicity 4)  1 H 1.40
O  0.2065  0.1793  0.3947 (multiplicity 4)  1 Se 1.64
O  0.2203  0.4206  0.7837 (multiplicity 4)  1 H 1.08
O  0.2795  0.0794  0.7154 (multiplicity 4)  1 H 1.07
O  0.2932  0.3209  0.1047 (multiplicity 4)  1 Se 1.64
O  0.3224  0.0942  0.1503 (multiplicity 4)  1 H 1.41
O  0.3476  0.3206  0.7752 (multiplicity 4)  1 Se 1.66, 1 H 1.72
O  0.3533  0.4982  0.9836 (multiplicity 4)  1 Se 1.64
O  0.3921  0.2015  0.4756 (multiplicity 4)  1 Se 1.64
O  0.4413  0.0166  0.3820 (multiplicity 4)  1 H 1.20
O  0.4577  0.1845  0.1599 (multiplicity 4)  1 Se 1.66, 1 H 1.80
O  0.4906  0.3812  0.7566 (multiplicity 4)  2 H 0.99-1.00

=====

UGa6Fe6 | SCAN | single point on PBEsol structure

Calculated values
E_form: -0.22 eV per atom
Calculated density: 9.462 Mg/m³
Spin magnetization: 9.59 μB per formula unit

Lattice parameters (Å, degrees): 4.9123 8.3158 8.5183 90.00 90.00 90.00
With the nearest neighbours (Å) after each atom.
Space group Immm (No. 71)
Inequivalent atoms, fractional coordinates:
U  0.0000  0.0000  0.0000 (multiplicity 2)  8 Ga 2.85-2.96, 4 Fe 3.14
Ga  0.0000  0.0000  0.3474 (multiplicity 4)  6 Fe 2.55-2.56, 3 Ga 2.60-2.79
Ga  0.0000  0.3427  0.0000 (multiplicity 4)  6 Fe 2.58-2.62, 1 Ga 2.62, 1 U 2.85
Ga  0.0000  0.5000  0.3089 (multiplicity 4)  6 Fe 2.47-2.54
Fe  0.0000  0.2655  0.5000 (multiplicity 4)  4 Fe 2.46, 6 Ga 2.54-2.62
Fe  0.2500  0.2500  0.2500 (multiplicity 8)  4 Fe 2.46, 6 Ga 2.47-2.58

=====

CdAsW2 | SCAN | single point on PBEsol structure

Calculated values
Energy above the lowest structure with this stoichiometry: 0.0 kJ per mole of atoms
E_form: 0.62 eV per atom
Calculated density: 14.058 Mg/m³
Spin magnetization: 0.00 μB per formula unit

Lattice parameters (Å, degrees): 3.0542 3.0542 7.0282 90.00 90.00 90.00
With the nearest neighbours (Å) after each atom.
Space group P4/mmm (No. 123)
Inequivalent atoms, fractional coordinates:
Cd  0.0000  0.0000  0.0000 (multiplicity 1)  8 W 3.00, 4 Cd 3.05
As  0.0000  0.0000  0.5000 (multiplicity 1)  8 W 2.59
W  0.5000  0.5000  0.2966 (multiplicity 2)  4 As 2.59, 1 W 2.86